Entry from Alexandria: an optimized crystal structure of Cs3Cd2Bi4Pb2 (PBE-GGA).

Computed properties:
total magnetization = 0.00 μB per formula unit
DFT formation energy = -243.6 meV per atom
volume = 45.71 Å³ per atom

Lattice parameters (Å, degrees): 5.2241 5.2241 21.2743 90.00 90.00 120.00
Space group P-3m1 (No. 164)
One atom of each set of equivalent atoms:
1 Cs 0.0000 0.0000 0.0000 (multiplicity 1)
2 Cs 0.0000 0.0000 0.2760 (multiplicity 2)
3 Cd 0.3333 0.6667 0.1390 (multiplicity 2)
4 Bi 0.3333 0.6667 0.4027 (multiplicity 2)
5 Bi 0.3333 0.6667 0.8599 (multiplicity 2)
6 Pb 0.3333 0.6667 0.5525 (multiplicity 2)